Below is crystalline TiSbTe2I at its relaxed geometry, with properties calculated at the PBE-GGA level.

Lattice parameters (Å, degrees): 5.7775 5.7775 5.7438 90.00 90.00 90.00
Closest atoms and distances in Å follow each position.
Atoms (fractional coordinates):
Ti1 0.0000 0.0000 0.0000  8 Te 4.07, 4 I 4.09
Sb1 0.5000 0.5000 0.5000  2 I 2.87, 4 Te 2.89
Te1 0.0000 0.5000 0.5000  2 Sb 2.89
Te2 0.5000 0.0000 0.5000  2 Sb 2.89
I1 0.5000 0.5000 0.0000  2 Sb 2.87

Computed properties:
Uncorrected energy   -15.76 eV/cell
Polymorph energy (0 for the lowest one)   0.8584 eV/atom
Symmetry   P4/mmm, No. 123

Below is crystalline TiSbTe2I at its relaxed geometry, with properties calculated at the PBE-GGA level.

Lattice parameters (Å, degrees): 5.4472 5.4472 5.3440 90.00 90.00 90.00
Closest atoms and distances in Å follow each position.
Atoms (fractional coordinates):
Ti1 0.0000 0.0000 0.0000  2 I 2.67, 4 Te 2.72
Sb1 0.5000 0.5000 0.5000  8 Te 3.82, 4 I 3.85
Te1 0.0000 0.5000 0.0000  2 Ti 2.72
Te2 0.5000 0.0000 0.0000  2 Ti 2.72
I1 0.0000 0.0000 0.5000  2 Ti 2.67

Computed properties:
Uncorrected energy   -19.42 eV/cell
Polymorph energy (0 for the lowest one)   0.1269 eV/atom
Symmetry   P4/mmm, No. 123

Below is crystalline TiSbTe2I at its relaxed geometry, with properties calculated at the PBE-GGA level.

Lattice parameters (Å, degrees): 5.2597 5.2597 5.5711 90.00 90.00 90.00
Closest atoms and distances in Å follow each position.
Atoms (fractional coordinates):
Ti1 0.0000 0.0000 0.0000  4 Te 2.63, 2 Sb 2.79
Sb1 0.0000 0.0000 0.5000  2 Ti 2.79
Te1 0.0000 0.5000 0.0000  2 Ti 2.63
Te2 0.5000 0.0000 0.0000  2 Ti 2.63
I1 0.5000 0.5000 0.5000  4 Sb 3.72, 8 Te 3.83

Computed properties:
Uncorrected energy   -20.05 eV/cell
Polymorph energy (0 for the lowest one)   0.0000 eV/atom
Symmetry   P4/mmm, No. 123

Below is crystalline TiSbTe2I at its relaxed geometry, with properties calculated at the PBE-GGA level.

Lattice parameters (Å, degrees): 5.7184 5.7184 5.7401 90.00 90.00 90.00
Closest atoms and distances in Å follow each position.
Atoms (fractional coordinates):
Ti1 0.0000 0.0000 0.0000  4 Sb 4.04, 8 Te 4.05
Sb1 0.5000 0.5000 0.0000  2 I 2.87
Te1 0.0000 0.5000 0.5000  2 I 2.86
Te2 0.5000 0.0000 0.5000  2 I 2.86
I1 0.5000 0.5000 0.5000  4 Te 2.86, 2 Sb 2.87

Computed properties:
Uncorrected energy   -13.47 eV/cell
Polymorph energy (0 for the lowest one)   1.3165 eV/atom
Symmetry   P4/mmm, No. 123

Energy relative to the elements, uncorrected in eV per atom, matching the order above: 0.82, 0.09, -0.04, 1.28